Entry 1:
DFT (PBE-GGA) results for a geometry-optimized ZrSc2VCd structure.

Unit cell a=4.925 b=5.438 c=4.925 alpha=90.00 beta=90.00 gamma=90.00
Site moments in Bohr magnetons follow the coordinates.
Sites, in units of the cell vectors:
Sc  0.000  0.000  0.500  0.02
Zr  0.000  0.000  0.000  0.02
Sc  0.500  0.000  0.000  0.01
Cd  0.000  0.500  0.000  0.01
V  0.500  0.500  0.500  0.07

DFT formation energy, kJ/mol of atoms: 135
Energy, eV per atom: -4.847



Entry 2:
DFT (PBE-GGA) results for a geometry-optimized ScCd2W structure.

Unit cell a=5.058 b=5.058 c=3.014 alpha=90.00 beta=90.00 gamma=90.00
Sites, in units of the cell vectors:
Cd  0.500  0.500  0.000
Sc  0.500  0.000  0.500
Cd  0.000  0.000  0.000
W  0.000  0.500  0.500

DFT formation energy, kJ/mol of atoms: 41
Energy, eV per atom: -4.857
Energy relative to the lowest polymorph listed for this composition, meV per atom: 255



Entry 3:
DFT (PBE-GGA) results for a geometry-optimized ScCd2W structure.

Unit cell a=4.238 b=4.235 c=4.295 alpha=90.00 beta=90.00 gamma=90.00
Sites, in units of the cell vectors:
Cd  0.000  0.000  0.000
Sc  0.500  0.000  0.500
W  0.000  0.500  0.500
Cd  0.500  0.500  0.000

DFT formation energy, kJ/mol of atoms: 31
Energy, eV per atom: -4.960
Energy relative to the lowest polymorph listed for this composition, meV per atom: 151



Entry 4:
DFT (PBE-GGA) results for a geometry-optimized ScCd2W structure.

Unit cell a=2.902 b=2.902 c=9.314 alpha=90.00 beta=90.00 gamma=90.00
Sites, in units of the cell vectors:
Cd  0.000  0.000  0.990
W  0.500  0.500  0.747
Sc  0.000  0.000  0.513
Cd  0.500  0.500  0.250

DFT formation energy, kJ/mol of atoms: 17
Energy, eV per atom: -5.099
Energy relative to the lowest polymorph listed for this composition, meV per atom: 12



Entry 5:
DFT (PBE-GGA) results for a geometry-optimized ScCdW structure.

Unit cell a=3.030 b=3.030 c=7.369 alpha=90.00 beta=90.00 gamma=120.00
Sites, in units of the cell vectors:
W  0.333  0.667  0.659
Cd  0.000  0.000  0.993
Sc  0.667  0.333  0.348

DFT formation energy, kJ/mol of atoms: 34
Energy, eV per atom: -6.379
Energy relative to the lowest polymorph listed for this composition, meV per atom: 132



Entry 6:
DFT (PBE-GGA) results for a geometry-optimized ScCd2W structure.

Unit cell a=5.317 b=6.514 c=2.960 alpha=62.94 beta=90.02 gamma=119.07
Sites, in units of the cell vectors:
Cd  0.000  0.500  0.500
Sc  0.500  0.500  0.000
Cd  0.000  0.000  0.000
W  0.500  0.000  0.500

DFT formation energy, kJ/mol of atoms: 27
Energy, eV per atom: -4.994
Energy relative to the lowest polymorph listed for this composition, meV per atom: 117